# 1
Computed, not measured: an optimized crystal structure of InReTe2AuS at the PBE-GGA level of DFT.

Unit cell a=3.9653 b=14.6010 c=9.8686 alpha=90.00 beta=90.00 gamma=90.00
Space group Cmcm (No. 63)
Inequivalent atoms, fractional coordinates:
1 In 0.0000 0.2442 0.2500 (multiplicity 4)
2 Re 0.0000 0.5000 0.0000 (multiplicity 4)
3 Te 0.0000 0.1344 0.5307 (multiplicity 8)
4 Au 0.0000 0.0250 0.7500 (multiplicity 4)
5 S 0.0000 0.4257 0.7500 (multiplicity 4)

---

# 2
Computed, not measured: an optimized crystal structure of PrCuHg at the PBE-GGA level of DFT.

Unit cell a=6.6718 b=6.6718 c=6.6718 alpha=90.00 beta=90.00 gamma=90.00
Space group F-43m (No. 216)
Inequivalent atoms, fractional coordinates:
1 Pr 0.0000 0.0000 0.0000 (multiplicity 4)
2 Cu 0.2500 0.2500 0.7500 (multiplicity 4)
3 Hg 0.0000 0.0000 0.5000 (multiplicity 4)

---

no.,final energy (eV/atom)
1,-4.52
2,-3.14